Entry from Alexandria via LeMat-Bulk: a relaxed structure of Mn2AsW (PBE-GGA).

Cell and atoms, written as POSCAR:
```
Mn2AsW
1.0
3.7878 0.0000 0.0000
0.0000 3.7878 0.0000
0.0000 0.0000 3.8201
Mn As W
2 1 1
Cartesian
0.0000 1.8939 0.0000 Mn
1.8939 0.0000 0.0000 Mn
0.0000 0.0000 1.9101 As
1.8939 1.8939 1.9101 W
```

Properties
Calculated formation energy ... 0.150 eV/atom
Total magnetic moment ... 4.26 Bohr magnetons per cell
E_tot ... -8.8358 eV per atom
DOS at the Fermi energy ... 2.57 states/eV/f.u.



Entry from Alexandria via LeMat-Bulk: a relaxed structure of Tb2Pm5Ga4 (PBE-GGA).

Cell and atoms, written as POSCAR:
```
Tb2Pm5Ga4
1.0
-2.3372 5.6463 6.7481
2.3372 -5.6463 6.7481
2.3372 5.6463 -6.7481
Tb Pm Ga
2 5 4
Cartesian
0.0000 0.0000 2.6534 Tb
0.0000 0.0000 10.8428 Tb
2.3372 0.0000 0.0000 Pm
2.3372 -1.9042 4.7600 Pm
0.0000 3.7421 1.9881 Pm
2.3372 1.9042 4.7600 Pm
0.0000 7.5505 1.9881 Pm
0.0000 1.5973 0.0000 Ga
0.0000 0.0000 5.5061 Ga
0.0000 0.0000 7.9901 Ga
0.0000 9.6954 0.0000 Ga
```

Properties
Calculated formation energy ... -0.050 eV/atom
Total magnetic moment ... 0.00 Bohr magnetons per cell
E_tot ... -4.1516 eV per atom
DOS at the Fermi energy ... 12.75 states/eV/f.u.



Entry from Alexandria via LeMat-Bulk: a relaxed structure of Pu2ZnRh (PBE-GGA).

Cell and atoms, written as POSCAR:
```
Pu2ZnRh
1.0
0.0000 3.4859 3.4859
3.4859 0.0000 3.4859
3.4859 3.4859 0.0000
Pu Zn Rh
2 1 1
Cartesian
1.7430 1.7430 1.7430 Pu
5.2289 5.2289 5.2289 Pu
0.0000 0.0000 0.0000 Zn
3.4859 3.4859 3.4859 Rh
```

Properties
Calculated formation energy ... -0.183 eV/atom
Total magnetic moment ... 10.65 Bohr magnetons per cell
E_tot ... -9.5053 eV per atom
DOS at the Fermi energy ... 15.21 states/eV/f.u.



Entry from Alexandria via LeMat-Bulk: a relaxed structure of Mg3Cd (PBE-GGA).

Cell and atoms, written as POSCAR:
```
Mg3Cd
1.0
5.6167 0.0000 0.0000
0.0000 5.6167 0.0000
0.0000 0.0000 5.6167
Mg Cd
6 2
Cartesian
0.0000 1.4042 2.8084 Mg
0.0000 4.2125 2.8084 Mg
1.4042 2.8084 0.0000 Mg
2.8084 0.0000 1.4042 Mg
2.8084 0.0000 4.2125 Mg
4.2125 2.8084 0.0000 Mg
0.0000 0.0000 0.0000 Cd
2.8084 2.8084 2.8084 Cd
```

Properties
Calculated formation energy ... -0.049 eV/atom
Total magnetic moment ... 0.00 Bohr magnetons per cell
E_tot ... -1.4735 eV per atom
DOS at the Fermi energy ... 1.42 states/eV/f.u.



Entry from Alexandria via LeMat-Bulk: a relaxed structure of ScZnCo2 (PBE-GGA).

Cell and atoms, written as POSCAR:
```
ScZnCo2
1.0
1.4377 0.8301 7.9034
-1.4377 0.8301 7.9034
0.0000 -1.6601 7.9034
Sc Zn Co
1 1 2
Cartesian
0.0000 0.0000 0.0000 Sc
0.0000 0.0000 11.8551 Zn
0.0000 0.0000 5.8836 Co
0.0000 0.0000 17.8265 Co
```

Properties
Calculated formation energy ... 0.143 eV/atom
Total magnetic moment ... 1.24 Bohr magnetons per cell
E_tot ... -5.3115 eV per atom
DOS at the Fermi energy ... 2.16 states/eV/f.u.



Entry from Alexandria via LeMat-Bulk: a relaxed structure of Pa2ZnGa4Pt3 (PBE-GGA).

Cell and atoms, written as POSCAR:
```
Pa2ZnGa4Pt3
1.0
4.0728 0.0000 0.0000
0.0000 4.0728 0.0000
0.0000 0.0000 11.1666
Pa Zn Ga Pt
2 1 4 3
Cartesian
0.0000 2.0364 2.7387 Pa
2.0364 0.0000 8.4279 Pa
0.0000 0.0000 5.5833 Zn
0.0000 0.0000 0.0000 Ga
0.0000 2.0364 7.0680 Ga
2.0364 0.0000 4.0986 Ga
2.0364 2.0364 0.0000 Ga
0.0000 2.0364 9.5213 Pt
2.0364 0.0000 1.6452 Pt
2.0364 2.0364 5.5833 Pt
```

Properties
Calculated formation energy ... -0.686 eV/atom
Total magnetic moment ... 0.00 Bohr magnetons per cell
E_tot ... -5.7352 eV per atom
DOS at the Fermi energy ... 6.38 states/eV/f.u.



Entry from Alexandria via LeMat-Bulk: a relaxed structure of Zn2CrNi2 (PBE-GGA).

Cell and atoms, written as POSCAR:
```
Zn2CrNi2
1.0
6.9251 0.0000 0.0000
0.0000 6.9251 0.0000
0.0000 0.0000 2.7509
Zn Cr Ni
4 2 4
Cartesian
0.8958 2.5668 0.0000 Zn
2.5668 6.0293 0.0000 Zn
4.3584 0.8958 0.0000 Zn
6.0293 4.3584 0.0000 Zn
0.0000 0.0000 0.0000 Cr
3.4626 3.4626 0.0000 Cr
1.1755 4.6381 1.3755 Ni
2.2870 1.1755 1.3755 Ni
4.6381 5.7496 1.3755 Ni
5.7496 2.2870 1.3755 Ni
```

Properties
Offset from the most stable computed form ... 0 meV/atom
Calculated formation energy ... 0.068 eV/atom
Total magnetic moment ... 8.15 Bohr magnetons per cell
E_tot ... -4.6787 eV per atom
DOS at the Fermi energy ... 4.40 states/eV/f.u.



Entry from Alexandria via LeMat-Bulk: a relaxed structure of FeHgW2 (PBE-GGA).

Cell and atoms, written as POSCAR:
```
FeHgW2
1.0
3.8625 0.0000 0.0000
0.0000 3.8784 0.0000
0.0000 0.0000 4.2550
Fe Hg W
1 1 2
Cartesian
0.0000 0.0000 0.0000 Fe
1.9313 1.9392 0.0000 Hg
0.0000 1.9392 2.1275 W
1.9313 0.0000 2.1275 W
```

Properties
Calculated formation energy ... 0.592 eV/atom
Total magnetic moment ... 2.37 Bohr magnetons per cell
E_tot ... -8.0759 eV per atom
DOS at the Fermi energy ... 2.99 states/eV/f.u.



Entry from Alexandria via LeMat-Bulk: a relaxed structure of Al2AsI (PBE-GGA).

Cell and atoms, written as POSCAR:
```
Al2AsI
1.0
-3.6045 3.6045 4.1700
3.6045 -3.6045 4.1700
3.6045 3.6045 -4.1700
Al As I
4 2 2
Cartesian
5.4067 1.4165 -1.0425 Al
1.4165 1.8022 1.0425 Al
-1.8022 2.1879 3.1275 Al
2.1879 1.8022 5.2125 Al
0.0000 0.0000 0.0000 As
0.0000 3.6045 2.0850 As
3.6045 0.0000 2.0850 I
0.0000 0.0000 4.1700 I
```

Properties
Offset from the most stable computed form ... 0 meV/atom
Total magnetic moment ... 0.00 Bohr magnetons per cell
E_tot ... -3.3270 eV per atom
Formation energy from raw total energies ... 0.094 eV per atom
DOS at the Fermi energy ... 1.35 states/eV/f.u.